# 1
## Pm3CdRu2 (PBE)

Data for a relaxed structure of Pm3CdRu2.

Properties
VASP energy, eV/atom: -5.87
ρ, g/cm3: 8.8
ΔE_f, eV per atom: -0.25

Geometry as extended XYZ:
```
6
Lattice="3.5031 0.0000 0.0000 0.0000 3.5031 0.0000 0.0000 0.0000 11.5619" Properties=species:S:1:pos:R:3 pbc="T T T"
Pm 0.0000 0.0000 0.0000
Cd 1.7516 1.7516 5.7809
Ru 1.7516 1.7516 1.8186
Ru 1.7516 1.7516 9.7433
Pm 0.0000 0.0000 3.4769
Pm 0.0000 0.0000 8.0850
```



# 2
## AcNi3Ge2 (PBE)

Data for a relaxed structure of AcNi3Ge2.

Properties
VASP energy, eV/atom: -5.61
ρ, g/cm3: 8.7
ΔE_f, eV per atom: -0.50
Offset from the most stable computed form, meV/atom: 0

Geometry as extended XYZ:
```
12
Lattice="-1.4909 -3.1604 2.0411 7.9117 -0.0505 1.6889 -3.8537 4.5039 4.1589" Properties=species:S:1:pos:R:3 pbc="T T T"
Ac 1.9093 -0.1700 1.1314
Ni 3.5401 -0.2832 6.1593
Ni 2.3684 1.4708 4.0074
Ni -1.9836 1.0306 4.1588
Ge -1.2151 -0.7288 1.9958
Ge 0.1187 2.3216 3.6815
Ac 0.6578 1.4629 6.7575
Ni 4.5507 0.2622 3.7301
Ni 0.1987 -0.1780 3.8814
Ni -0.9730 1.5760 1.7296
Ge 2.4484 -1.0287 4.2074
Ge 3.7822 2.0217 5.8930
```



# 3
## Dy4YAl2 (PBE)

Data for a relaxed structure of Dy4YAl2.

Properties
VASP energy, eV/atom: -4.83
ρ, g/cm3: 7.0
ΔE_f, eV per atom: -0.21
Offset from the most stable computed form, meV/atom: 0

Geometry as extended XYZ:
```
7
Lattice="-2.7864 0.8992 4.3755 -5.2616 -0.0745 -0.1680 -2.6257 -7.3798 3.0119" Properties=species:S:1:pos:R:3 pbc="T T T"
Dy -5.3228 -5.1595 4.0054
Y 0.0000 0.0000 0.0000
Dy -2.6519 -3.8596 2.2718
Dy -8.0218 -2.6955 4.9476
Al -2.6739 -0.8990 1.6493
Al -7.9998 -5.6561 5.5701
Dy -5.3508 -1.3955 3.2140
```



# 4
## Pr4ZnGa3 (PBE)

Data for a relaxed structure of Pr4ZnGa3.

Properties
VASP energy, eV/atom: -4.16
ρ, g/cm3: 6.5
ΔE_f, eV per atom: -0.48
Offset from the most stable computed form, meV/atom: 6

Geometry as extended XYZ:
```
8
Lattice="-1.7227 -3.7342 -1.7086 3.8347 -1.8132 0.0963 -2.0831 -3.8471 10.5083" Properties=species:S:1:pos:R:3 pbc="T T T"
Zn 0.9192 -3.0262 -0.1164
Pr -0.2992 -0.5527 1.5096
Ga -0.8973 -1.6572 4.5266
Pr 0.3098 -4.1518 2.9580
Ga -2.7992 -5.4459 8.9210
Ga 0.7297 -3.1000 6.0395
Pr -2.2025 -4.3440 5.9112
Pr 0.1311 -4.2056 9.0592
```



# 5
## PrSmIO6 (PBE)

Data for a relaxed structure of PrSmIO6.

Properties
VASP energy, eV/atom: -6.50
ρ, g/cm3: 6.0
E_form (uncorrected), eV/atom: -1.964

Geometry as extended XYZ:
```
18
Lattice="-4.0534 0.2106 -4.0917 1.8961 -5.0932 1.9185 -7.0118 0.0063 6.9464" Properties=species:S:1:pos:R:3 pbc="T T T"
I -3.8232 -1.5558 -0.3517
Pr 0.0000 0.0000 0.0000
I -5.3460 -3.3206 5.1249
Pr -3.5059 0.0031 3.4732
O -5.1802 -0.0750 -0.1356
O -3.9889 -4.8013 4.9088
Sm -1.8400 -3.3237 1.6517
O -6.6835 -1.8252 5.3607
O -3.4327 -1.6009 1.6298
Sm -7.3291 -1.5526 3.1215
O -2.3903 -0.1390 -0.4938
O -5.7365 -3.2754 3.1434
O -6.7789 -4.7374 5.2670
O -4.9563 -3.3970 7.1056
O -2.4856 -3.0511 -0.5875
O -5.2374 -2.9892 -0.1907
O -4.2129 -1.4793 -2.3324
O -3.9317 -1.8871 4.9639
```



# 6
## Tm5HgIr (PBE)

Data for a relaxed structure of Tm5HgIr.

Properties
VASP energy, eV/atom: -4.83
ρ, g/cm3: 11.0
ΔE_f, eV per atom: -0.33

Geometry as extended XYZ:
```
14
Lattice="5.8189 -0.2795 -0.0649 1.5810 5.6069 -0.0649 2.6060 1.8762 11.2668" Properties=species:S:1:pos:R:3 pbc="T T T"
Tm 3.6661 1.1583 0.7119
Tm 3.5646 4.0473 6.3453
Ir 1.3030 0.9381 5.6334
Hg 3.9955 3.6272 2.7518
Tm 3.4332 3.9827 9.8150
Ir 0.0000 0.0000 0.0000
Tm 3.5631 1.0542 4.1816
Tm 6.3398 6.0453 10.4252
Tm 2.2660 6.0294 2.7518
Tm 6.4413 3.1563 4.7918
Hg 6.0104 3.5764 8.3853
Tm 7.7399 1.1742 8.3853
Tm 6.5728 3.2209 1.3221
Tm 6.4428 6.1494 6.9555
```



# 7
## MgHIrRh2 (PBE)

Data for a relaxed structure of MgHIrRh2.

Properties
VASP energy, eV/atom: -5.85
ρ, g/cm3: 11.6
Offset from the most stable computed form, meV/atom: 49

Geometry as extended XYZ:
```
5
Lattice="-3.4886 -0.9561 -1.4173 1.5839 -3.0198 -1.8616 -0.6676 -2.3338 3.2177" Properties=species:S:1:pos:R:3 pbc="T T T"
Mg -0.3338 -1.1669 1.6089
H 0.0000 0.0000 0.0000
Rh -1.7443 -0.4781 -0.7087
Ir -1.2862 -3.1549 -0.0306
Rh 0.7920 -1.5099 -0.9308
```



# 8
## Sr3SnAu (PBE)

Data for a relaxed structure of Sr3SnAu.

Properties
VASP energy, eV/atom: -2.83
ρ, g/cm3: 4.6
ΔE_f, eV per atom: -0.36
Offset from the most stable computed form, meV/atom: 200

Geometry as extended XYZ:
```
5
Lattice="-4.5684 -0.9004 3.6471 3.3314 -3.6245 3.2782 1.7359 4.5863 3.3067" Properties=species:S:1:pos:R:3 pbc="T T T"
Sn 0.2494 0.0307 5.1160
Sr 1.6657 -1.8123 1.6391
Au 0.0000 0.0000 0.0000
Sr 0.8679 2.2932 1.6534
Sr -2.2842 -0.4502 1.8235
```



# 9
## Tm2NpBi3 (PBE)

Data for a relaxed structure of Tm2NpBi3.

Properties
VASP energy, eV/atom: -6.06
ρ, g/cm3: 10.6
ΔE_f, eV per atom: -0.47

Geometry as extended XYZ:
```
24
Lattice="-6.9753 3.3125 0.3857 1.6998 -1.5590 -7.3795 -3.0201 -12.9356 4.7413" Properties=species:S:1:pos:R:3 pbc="T T T"
Bi -1.4345 -2.3215 -5.2378
Tm -5.4745 -5.1692 -2.8730
Bi -2.5546 -11.2790 -0.8696
Np -7.3522 -9.1713 -2.4600
Bi -7.6123 -3.9425 -0.9027
Bi -3.9335 1.3074 -5.2147
Tm -7.2622 -6.3886 1.0230
Bi -5.8201 -2.7339 -4.8236
Tm -4.7122 -10.0434 1.0364
Np -2.9225 -8.8197 -2.8601
Tm -3.5834 -1.1387 -3.2889
Np -1.0356 -4.7981 -3.2751
Np -0.9434 -2.0108 0.2075
Tm -2.8211 -6.0129 0.6205
Tm -5.3710 -2.3577 0.6070
Tm -4.8002 -12.8218 -2.4471
Bi -5.0843 -7.5810 -0.8875
Bi -3.2423 -3.5837 -1.3373
Bi -5.7121 0.0872 -1.3446
Bi -6.8901 -8.8510 2.9468
Bi -2.4445 -8.4656 2.5433
Bi -1.3421 0.4461 -1.7792
Tm 0.8421 -0.7961 -3.6880
Bi -5.0209 -4.8038 2.5328
```



# 10
## LiNd2Sm2Au4 (PBE)

Data for a relaxed structure of LiNd2Sm2Au4.

Properties
VASP energy, eV/atom: -4.30
ρ, g/cm3: 10.5
ΔE_f, eV per atom: -0.52

Geometry as extended XYZ:
```
9
Lattice="6.6115 0.2324 0.3355 -2.9697 5.9116 -0.3355 -2.9697 -2.3910 5.4168" Properties=species:S:1:pos:R:3 pbc="T T T"
Au 1.7920 0.9806 1.4153
Sm -1.8487 1.0958 1.5816
Nd 0.3360 3.9521 1.2703
Au -1.1200 2.7724 4.0015
Au -2.9697 3.8688 1.0798
Sm -4.0908 2.4247 3.4998
Nd 0.3360 -0.1992 4.1465
Li 0.0000 0.0000 0.0000
Au -2.9697 -0.3483 4.0015
```



# 11
## InSbP (PBE)

Data for a relaxed structure of InSbP.

Properties
VASP energy, eV/atom: -4.01
ρ, g/cm3: 5.6
E_form (uncorrected), eV/atom: 0.076
Offset from the most stable computed form, meV/atom: 77

Geometry as extended XYZ:
```
6
Lattice="3.2191 0.0388 0.0637 1.1528 6.6842 0.0364 0.7798 0.0392 7.3622" Properties=species:S:1:pos:R:3 pbc="T T T"
P 2.3619 6.5374 3.0225
Sb 2.5687 3.8449 2.3128
P 2.7897 0.2248 4.4398
Sb 2.5830 2.9174 5.1495
In 4.2207 5.3770 6.8403
In 0.9309 1.3852 0.6220
```



# 12
## FeNiAg2 (PBE)

Data for a relaxed structure of FeNiAg2.

Properties
VASP energy, eV/atom: -4.64
ρ, g/cm3: 9.2
ΔE_f, eV per atom: 0.35
Offset from the most stable computed form, meV/atom: 172

Geometry as extended XYZ:
```
4
Lattice="-1.1284 -3.3053 -3.3766 -0.1540 -4.4995 1.8250 -1.9921 4.2225 1.3426" Properties=species:S:1:pos:R:3 pbc="T T T"
Fe -1.3937 -2.0898 1.1959
Ag -0.6412 -3.9024 -0.7758
Ag 0.0000 0.0000 0.0000
Ni -1.8809 -1.4927 -1.4049
```



# 13
## Mn3SnS7 (PBE)

Data for a relaxed structure of Mn3SnS7.

Properties
VASP energy, eV/atom: -5.86
ρ, g/cm3: 3.5
E_form (uncorrected), eV/atom: -0.368

Geometry as extended XYZ:
```
11
Lattice="5.7437 0.0995 -0.4760 -0.3224 6.5390 0.9937 0.2268 1.2100 6.5065" Properties=species:S:1:pos:R:3 pbc="T T T"
Sn 2.8241 3.9243 3.5121
S 1.9488 1.4149 4.2616
S 1.0388 1.0129 0.8756
Mn -0.2111 5.4590 2.1109
S -0.0478 3.8745 3.7501
Mn 0.1155 2.2900 5.3893
S 1.6323 4.4854 1.0852
Mn 2.8718 0.0498 -0.2380
S 4.6094 6.8357 6.1486
S 4.0158 3.3631 5.9390
S 3.6993 6.4336 2.7625
```



# 14
## LaGa2IrO8 (PBE)

Data for a relaxed structure of LaGa2IrO8.

Properties
VASP energy, eV/atom: -6.47
ρ, g/cm3: 6.7
E_form (uncorrected), eV/atom: -1.514

Geometry as extended XYZ:
```
12
Lattice="4.7309 0.0332 -0.0026 0.0714 4.7012 -0.0045 0.0052 0.0079 6.6256" Properties=species:S:1:pos:R:3 pbc="T T T"
Ga 2.4029 2.3696 1.6002
O 3.7851 1.0244 1.3686
O 3.3938 3.3782 -0.0050
O 1.0224 3.7180 5.2497
O 3.7889 1.0297 5.2508
Ir 0.0000 0.0000 0.0000
O 3.1843 3.1768 3.3078
La 0.0026 0.0040 3.3128
O 1.6233 1.5655 3.3106
O 1.4137 1.3642 6.6234
O 1.0187 3.7127 1.3676
Ga 2.4047 2.3728 5.0182
```



# 15
## Tm4Zn2Os (PBE)

Data for a relaxed structure of Tm4Zn2Os.

Properties
VASP energy, eV/atom: -4.74
ρ, g/cm3: 10.1
ΔE_f, eV per atom: -0.22
Offset from the most stable computed form, meV/atom: 8

Geometry as extended XYZ:
```
14
Lattice="-1.7031 4.8516 -5.4822 -6.2592 -2.1390 3.5694 4.6701 3.3884 4.8168" Properties=species:S:1:pos:R:3 pbc="T T T"
Tm 1.2772 6.2150 1.0163
Os -3.2394 3.4163 -1.1228
Zn -0.1550 3.6989 1.6379
Os 0.0000 0.0000 0.0000
Tm -3.3576 3.2513 1.6160
Tm -0.8619 0.9356 2.4339
Tm -5.7439 1.5783 -0.7577
Tm -3.9573 -0.1417 4.2738
Zn -3.8789 0.3421 1.4324
Tm -2.1585 5.9201 0.4092
Tm -0.5466 2.8774 -1.0981
Zn -2.5879 2.4694 4.5484
Tm 2.1800 3.7679 3.7226
Zn 0.0375 5.6916 -1.8108
```



# 16
## LiTl2VSe (PBE)

Data for a relaxed structure of LiTl2VSe.

Properties
VASP energy, eV/atom: -3.14
ρ, g/cm3: 6.1
E_form (uncorrected), eV/atom: 0.714

Geometry as extended XYZ:
```
5
Lattice="-3.5216 4.6399 0.3499 -3.4730 -2.6497 0.1821 0.4053 -0.1313 5.8199" Properties=species:S:1:pos:R:3 pbc="T T T"
Li -1.7365 -1.3248 0.0910
Tl 0.2026 -0.0656 2.9099
Se 0.0000 0.0000 0.0000
V -3.2946 0.9295 3.1759
Tl -1.7608 2.3199 0.1749
```



# 17
## Ho2ScPaAs4 (PBE)

Data for a relaxed structure of Ho2ScPaAs4.

Properties
VASP energy, eV/atom: -6.81
ρ, g/cm3: 8.0
ΔE_f, eV per atom: -1.36

Geometry as extended XYZ:
```
8
Lattice="-0.6372 0.1981 4.0038 6.0732 -3.2352 1.1267 1.0435 6.9418 -0.1775" Properties=species:S:1:pos:R:3 pbc="T T T"
Ho 3.5583 1.8533 0.4746
Sc 0.0000 0.0000 0.0000
Ho 0.2031 3.5700 1.9132
As 5.0750 2.9263 2.7204
As 1.4045 0.9784 2.2326
As 2.2789 4.4437 0.1428
Pa 2.7180 -1.5185 2.5652
As 4.8378 -0.7371 0.8064
```



# 18
## TlCd2O2 (PBE)

Data for a relaxed structure of TlCd2O2.

Properties
VASP energy, eV/atom: -3.47
ρ, g/cm3: 7.9
E_form (uncorrected), eV/atom: -0.648
Offset from the most stable computed form, meV/atom: 0

Geometry as extended XYZ:
```
10
Lattice="6.9298 0.0004 0.0974 3.4661 5.1644 0.0557 3.5425 0.0098 5.4527" Properties=species:S:1:pos:R:3 pbc="T T T"
Cd 2.6178 0.5038 1.3866
O 9.4140 4.0371 5.1883
Tl 9.5528 4.1806 1.4922
Cd 7.8574 2.7140 4.1648
O 7.6480 1.1482 2.4588
Tl 4.3856 0.9940 4.1136
Cd 6.0810 2.4606 1.4410
O 4.5244 1.1374 0.4175
Cd 11.3206 4.6708 4.2192
O 6.2904 4.0263 3.1470
```



# 19
## Cu2SiAu (PBE)

Data for a relaxed structure of Cu2SiAu.

Properties
VASP energy, eV/atom: -4.02
ρ, g/cm3: 9.6
E_form (uncorrected), eV/atom: 0.206

Geometry as extended XYZ:
```
8
Lattice="6.9532 0.0000 0.0000 0.0000 6.9532 0.0000 3.4766 3.4766 2.5291" Properties=species:S:1:pos:R:3 pbc="T T T"
Cu 1.9638 5.2149 0.6323
Cu 8.6915 8.4661 1.8969
Au 6.9532 3.4766 1.2646
Cu 4.9895 1.7383 0.6323
Si 3.4766 3.4766 0.0000
Si 3.4766 6.9532 1.2646
Au 0.0000 0.0000 0.0000
Cu 5.2149 5.4404 1.8969
```



# 20
## Si2MoP (PBE)

Data for a relaxed structure of Si2MoP.

Properties
VASP energy, eV/atom: -6.46
ρ, g/cm3: 5.1
E_form (uncorrected), eV/atom: 0.309

Geometry as extended XYZ:
```
4
Lattice="-0.8171 4.7844 -0.8264 -3.0132 -0.2209 1.7005 1.6154 0.7880 2.9647" Properties=species:S:1:pos:R:3 pbc="T T T"
Si -0.6989 0.2835 2.3326
P 0.3991 2.7862 1.0691
Mo -1.9151 2.2817 0.4370
Si 0.0000 0.0000 0.0000
```